# 1
{
  "formula": "PmSmN",
  "functional": "GGA-PBE",
  "state": "optimized geometry",
  "lattice_angstrom": [[-0.580, -4.456, 0.016], [-0.411, -2.199, 3.898], [-3.967, -1.745, 1.188]],
  "species": ["N", "Pm", "Sm"],
  "fractional_positions": [[0.000, 0.000, 0.000], [0.750, 0.750, 0.750], [0.500, 0.500, 0.500]],
  "total_energy_ev_per_atom": -4.640
}

=====

# 2
{
  "formula": "Pm3Ta2N6",
  "functional": "GGA-PBE",
  "state": "optimized geometry",
  "lattice_angstrom": [[-1.057, 2.717, 9.734], [-4.583, 6.060, 6.746], [0.735, -6.310, -7.930]],
  "species": ["N", "N", "N", "N", "N", "N", "Pm", "Pm", "Pm", "Ta", "Ta"],
  "fractional_positions": [[0.300, 0.300, 0.000], [0.700, 0.700, 0.000], [0.584, 0.084, 0.500], [0.916, 0.416, 0.500], [0.084, 0.584, 0.500], [0.416, 0.916, 0.500], [0.000, 0.000, 0.000], [0.179, 0.179, 0.000], [0.821, 0.821, 0.000], [0.399, 0.399, 0.000], [0.601, 0.601, 0.000]],
  "total_energy_ev_per_atom": -9.353
}

=====

# 3
{
  "formula": "TbPm2N3",
  "functional": "GGA-PBE",
  "state": "optimized geometry",
  "lattice_angstrom": [[-2.350, -2.149, 1.588], [2.637, 1.460, 1.891], [-5.073, 6.860, 1.776]],
  "species": ["N", "N", "N", "Pm", "Pm", "Tb"],
  "fractional_positions": [[0.000, 0.000, 0.000], [0.333, 0.667, 0.339], [0.667, 0.333, 0.661], [0.667, 0.333, 0.170], [0.333, 0.667, 0.830], [0.000, 0.000, 0.500]],
  "total_energy_ev_per_atom": -8.021
}

=====

# 4
{
  "formula": "Pm3Tc2N6",
  "functional": "GGA-PBE",
  "state": "optimized geometry",
  "lattice_angstrom": [[-1.951, 1.951, 9.680], [1.951, -1.951, 9.680], [1.951, 1.951, -9.680]],
  "species": ["N", "N", "N", "N", "N", "N", "Pm", "Pm", "Pm", "Tc", "Tc"],
  "fractional_positions": [[0.302, 0.302, 0.000], [0.698, 0.698, 0.000], [0.586, 0.086, 0.500], [0.914, 0.414, 0.500], [0.086, 0.586, 0.500], [0.414, 0.914, 0.500], [0.000, 0.000, 0.000], [0.184, 0.184, 0.000], [0.816, 0.816, 0.000], [0.409, 0.409, 0.000], [0.591, 0.591, 0.000]],
  "total_energy_ev_per_atom": -8.540
}

=====

| no. | total moment (μB/f.u.) |
| --- | --- |
| 1 | 0.04 |
| 2 | 0.00 |
| 3 | 0.00 |
| 4 | 0.01 |